# KNa2HoCl6

A relaxed KNa2HoCl6 crystal (PBE, Alexandria via LeMat-Bulk).

Properties
The calculation puts the calculated density at 2.63 g cm⁻³. As for the total DFT energy (no corrections): -3.99 eV per atom. The calculated volume is 29.22 A^3/atom. The space group is R3.

```
data_KNa2HoCl6
_cell_length_a 7.191
_cell_length_b 7.190
_cell_length_c 7.734
_cell_angle_alpha 62.31
_cell_angle_beta 62.31
_cell_angle_gamma 60.01
_space_group_name_H-M_alt 'P 1'
_space_group_IT_number 1
_space_group_name_Hall 'P 1'
loop_
_atom_site_label
_atom_site_fract_x
_atom_site_fract_y
_atom_site_fract_z
K1 0.809 0.809 0.574
Na1 0.008 0.008 0.974
Cl1 0.946 0.577 0.235
Ho1 0.324 0.324 0.027
Cl2 0.373 0.712 0.766
Cl3 0.577 0.242 0.235
Cl4 0.149 0.373 0.766
Cl5 0.712 0.149 0.766
Na2 0.521 0.521 0.436
Cl6 0.242 0.946 0.235
```